[1]
First-principles (PBE-GGA) data for TlReN3 after structural relaxation, as listed in Alexandria.

Unit cell a=4.0954 b=4.0954 c=4.0954 alpha=90.00 beta=90.00 gamma=90.00
With the nearest neighbours (Å) after each atom.
Element x y z (fractional)
Tl  0.0000  0.0000  0.0000  6 N 2.05
N  0.0000  0.0000  0.5000  2 Tl 2.05
N  0.5000  0.0000  0.0000  2 Tl 2.05
N  0.0000  0.5000  0.0000  2 Tl 2.05
Re  0.5000  0.5000  0.5000  12 N 2.90

Total magnetic moment, Bohr magnetons per cell: 0.00
Density of states at the Fermi level, states/eV/cell: 7.1
Crystal system: cubic
Energy relative to the elements, uncorrected, kJ/mol of formula units: 1579

=====

[2]
First-principles (PBE-GGA) data for Ac4Ge3 after structural relaxation, as listed in Alexandria.

Unit cell a=5.0510 b=5.0510 c=11.4415 alpha=77.25 beta=77.25 gamma=60.00
With the nearest neighbours (Å) after each atom.
Element x y z (fractional)
Ge  0.5000  0.5000  0.5000  2 Ge 3.14, 6 Ac 3.27
Ac  0.1218  0.1218  0.6345  6 Ge 3.27-3.35
Ac  0.2977  0.2977  0.1069  3 Ge 3.16
Ge  0.4053  0.4053  0.7840  1 Ge 3.14, 6 Ac 3.16-3.35
Ge  0.5947  0.5947  0.2160  1 Ge 3.14, 6 Ac 3.16-3.35
Ac  0.7023  0.7023  0.8931  3 Ge 3.16
Ac  0.8782  0.8782  0.3655  6 Ge 3.27-3.35

Total magnetic moment, Bohr magnetons per cell: 0.00
Energy above the lowest structure with this stoichiometry, eV/atom: 0.170
Density of states at the Fermi level, states/eV/cell: 3.5
Crystal system: trigonal

=====

[3]
First-principles (PBE-GGA) data for FeRuW3 after structural relaxation, as listed in Alexandria.

Unit cell a=4.4065 b=4.4065 c=4.4065 alpha=90.00 beta=90.00 gamma=90.00
With the nearest neighbours (Å) after each atom.
Element x y z (fractional)
Ru  0.5000  0.5000  0.5000  12 W 3.12
W  0.0000  0.0000  0.5000  2 Fe 2.20
W  0.5000  0.0000  0.0000  2 Fe 2.20
W  0.0000  0.5000  0.0000  2 Fe 2.20
Fe  0.0000  0.0000  0.0000  6 W 2.20

Total magnetic moment, Bohr magnetons per cell: 0.00
Energy above the lowest structure with this stoichiometry, eV/atom: 0.000
Density of states at the Fermi level, states/eV/cell: 5.6
Crystal system: cubic

=====

[4]
First-principles (PBE-GGA) data for SrLaTl5 after structural relaxation, as listed in Alexandria.

Unit cell a=5.3344 b=5.3344 c=8.2075 alpha=90.00 beta=90.00 gamma=90.00
With the nearest neighbours (Å) after each atom.
Element x y z (fractional)
La  0.5000  0.5000  0.0000  8 Tl 3.28
Tl  0.0000  0.5000  0.2328  2 La 3.28, 2 Sr 3.45, 2 Tl 3.45
Sr  0.0000  0.0000  0.5000  12 Tl 3.45-3.77
Tl  0.0000  0.5000  0.7672  2 La 3.28, 2 Sr 3.45, 2 Tl 3.45
Tl  0.5000  0.0000  0.2328  2 La 3.28, 2 Tl 3.45, 2 Sr 3.45
Tl  0.5000  0.0000  0.7672  2 La 3.28, 2 Tl 3.45, 2 Sr 3.45
Tl  0.5000  0.5000  0.5000  8 Tl 3.45, 4 Sr 3.77

Total magnetic moment, Bohr magnetons per cell: 0.00
Density of states at the Fermi level, states/eV/cell: 5.0
Crystal system: tetragonal
E, eV per cell: -19.59